CdGa2Te: relaxed, GGA-PBE.

Properties
The total energy is -38.797 eV for the cell shown. The value obtained for the calculated density is 6.49 g/cm³.

```
data_CdGa2Te
_symmetry_space_group_name_H-M 'F -4 3 m'
_symmetry_Int_Tables_number 216
_symmetry_space_group_name_Hall 'F -4 2 3'
_cell_length_a 7.2969
_cell_length_b 7.2969
_cell_length_c 7.2969
_cell_angle_alpha 90.00
_cell_angle_beta 90.00
_cell_angle_gamma 90.00
loop_
_atom_site_label
_atom_site_type_symbol
_atom_site_fract_x
_atom_site_fract_y
_atom_site_fract_z
Cd1 Cd 0.0000 0.0000 0.0000
Ga1 Ga 0.0000 0.0000 0.5000
Ga2 Ga 0.2500 0.2500 0.2500
Te1 Te 0.2500 0.2500 0.7500
```